A plane-wave DFT calculation with PBE was carried out for crystalline Cs2SrPbF6 at its relaxed geometry.

Lattice parameters (Å, degrees): 4.8628 4.8628 9.7267 90.00 90.00 90.00
Fractional positions:
Cs (0.0000, 0.0000, 0.2491)
Cs (0.0000, 0.0000, 0.7509)
Sr (0.5000, 0.5000, 0.0000)
Pb (0.5000, 0.5000, 0.5000)
F (0.0000, 0.5000, 0.0000)
F (0.0000, 0.5000, 0.5000)
F (0.5000, 0.0000, 0.0000)
F (0.5000, 0.0000, 0.5000)
F (0.5000, 0.5000, 0.2475)
F (0.5000, 0.5000, 0.7525)

Space-group type: No. 123
Uncorrected formation energy: -2981 meV/atom

---

A plane-wave DFT calculation with PBE was carried out for crystalline Cs2SrPbF6 at its relaxed geometry.

Lattice parameters (Å, degrees): 6.8786 6.8786 6.8786 60.00 60.00 60.00
Fractional positions:
Cs (0.2500, 0.2500, 0.2500)
Cs (0.7500, 0.7500, 0.7500)
Sr (0.0000, 0.0000, 0.0000)
Pb (0.5000, 0.5000, 0.5000)
F (0.2476, 0.2476, 0.7524)
F (0.2476, 0.7524, 0.2476)
F (0.2476, 0.7524, 0.7524)
F (0.7524, 0.2476, 0.2476)
F (0.7524, 0.2476, 0.7524)
F (0.7524, 0.7524, 0.2476)

Space-group type: No. 225
Uncorrected formation energy: -2980 meV/atom

---

A plane-wave DFT calculation with PBE was carried out for crystalline Cs2TbPbF6 at its relaxed geometry.

Lattice parameters (Å, degrees): 6.5268 9.3367 7.7872 90.00 90.00 90.00
Fractional positions:
Cs (0.2500, 0.0048, 0.2025)
Cs (0.2500, 0.4952, 0.2025)
Cs (0.7500, 0.5048, 0.7975)
Cs (0.7500, 0.9952, 0.7975)
Tb (0.2500, 0.7500, 0.7642)
Tb (0.7500, 0.2500, 0.2358)
Pb (0.2500, 0.2500, 0.7084)
Pb (0.7500, 0.7500, 0.2916)
F (0.0116, 0.2500, 0.4132)
F (0.0161, 0.7500, 0.9697)
F (0.2500, 0.5120, 0.7767)
F (0.2500, 0.9880, 0.7767)
F (0.4839, 0.7500, 0.9697)
F (0.4884, 0.2500, 0.4132)
F (0.5116, 0.7500, 0.5868)
F (0.5161, 0.2500, 0.0303)
F (0.7500, 0.0120, 0.2233)
F (0.7500, 0.4880, 0.2233)
F (0.9839, 0.2500, 0.0303)
F (0.9884, 0.7500, 0.5868)

Space-group type: No. 59
Uncorrected formation energy: -2962 meV/atom

---

A plane-wave DFT calculation with PBE was carried out for crystalline CsTbPbF6 at its relaxed geometry.

Lattice parameters (Å, degrees): 6.4953 6.4953 5.9577 90.05 90.05 120.12
Fractional positions:
Cs (0.0000, 0.0000, 0.0000)
Tb (0.6666, 0.3334, 0.5000)
Pb (0.3335, 0.6665, 0.5000)
F (0.3960, 0.0293, 0.3009)
F (0.3982, 0.3684, 0.7007)
F (0.6316, 0.6018, 0.2993)
F (0.6326, 0.0302, 0.7002)
F (0.9698, 0.3674, 0.2998)
F (0.9707, 0.6040, 0.6991)

Space-group type: No. 5
Uncorrected formation energy: -3234 meV/atom

---

A plane-wave DFT calculation with PBE was carried out for crystalline CsTbPb2F8 at its relaxed geometry.

Lattice parameters (Å, degrees): 4.1861 8.4245 6.2185 90.00 90.15 90.00
Fractional positions:
Cs (0.0000, 0.0000, 0.0000)
Tb (0.0000, 0.5000, 0.0000)
Pb (0.5000, 0.2492, 0.5000)
Pb (0.5000, 0.7508, 0.5000)
F (0.0000, 0.2991, 0.2489)
F (0.0000, 0.2991, 0.7511)
F (0.0000, 0.7009, 0.2489)
F (0.0000, 0.7009, 0.7511)
F (0.4981, 0.0000, 0.7008)
F (0.4998, 0.5000, 0.1985)
F (0.5002, 0.5000, 0.8015)
F (0.5019, 0.0000, 0.2992)

Space-group type: No. 10
Uncorrected formation energy: -2997 meV/atom

---

A plane-wave DFT calculation with PBE was carried out for crystalline Cs2TcPbF6 at its relaxed geometry.

Lattice parameters (Å, degrees): 6.5327 6.5327 6.5327 60.00 60.00 60.00
Fractional positions:
Cs (0.2500, 0.2500, 0.2500)
Cs (0.7500, 0.7500, 0.7500)
Tc (0.0000, 0.0000, 0.0000)
Pb (0.5000, 0.5000, 0.5000)
F (0.2339, 0.2339, 0.7661)
F (0.2339, 0.7661, 0.2339)
F (0.2339, 0.7661, 0.7661)
F (0.7661, 0.2339, 0.2339)
F (0.7661, 0.2339, 0.7661)
F (0.7661, 0.7661, 0.2339)

Space-group type: No. 225
Uncorrected formation energy: -2118 meV/atom

---

A plane-wave DFT calculation with PBE was carried out for crystalline CsTlPbF4 at its relaxed geometry.

Lattice parameters (Å, degrees): 4.8747 4.8747 14.6124 90.00 90.00 90.00
Fractional positions:
Cs (0.0000, 0.0000, 0.0000)
Cs (0.5000, 0.5000, 0.5000)
Tl (0.0000, 0.0000, 0.7025)
Tl (0.5000, 0.5000, 0.2025)
Pb (0.0000, 0.0000, 0.3521)
Pb (0.5000, 0.5000, 0.8521)
F (0.0000, 0.0000, 0.1928)
F (0.0000, 0.0000, 0.5344)
F (0.0000, 0.5000, 0.3514)
F (0.0000, 0.5000, 0.8514)
F (0.5000, 0.0000, 0.3514)
F (0.5000, 0.0000, 0.8514)
F (0.5000, 0.5000, 0.0344)
F (0.5000, 0.5000, 0.6928)

Space-group type: No. 107
Uncorrected formation energy: -2269 meV/atom

---

A plane-wave DFT calculation with PBE was carried out for crystalline CsTlPbF6 at its relaxed geometry.

Lattice parameters (Å, degrees): 6.4609 6.4609 5.9438 90.03 90.03 120.09
Fractional positions:
Cs (0.0000, 0.0000, 0.0000)
Tl (0.3335, 0.6665, 0.5000)
Pb (0.6665, 0.3335, 0.5000)
F (0.0277, 0.3952, 0.2995)
F (0.0289, 0.6329, 0.7007)
F (0.3671, 0.9711, 0.2993)
F (0.3681, 0.3966, 0.7012)
F (0.6034, 0.6319, 0.2988)
F (0.6048, 0.9723, 0.7005)

Space-group type: No. 5
Uncorrected formation energy: -2269 meV/atom

---

A plane-wave DFT calculation with PBE was carried out for crystalline Cs2TlPb2F7 at its relaxed geometry.

Lattice parameters (Å, degrees): 4.8489 4.8489 12.7406 99.48 99.48 92.57
Fractional positions:
Cs (0.1861, 0.1861, 0.3730)
Cs (0.8139, 0.8139, 0.6270)
Tl (0.0000, 0.0000, 0.0000)
Pb (0.3951, 0.3951, 0.8058)
Pb (0.6049, 0.6049, 0.1942)
F (0.0930, 0.6566, 0.1838)
F (0.2827, 0.2827, 0.6056)
F (0.3434, 0.9070, 0.8162)
F (0.5000, 0.5000, 0.0000)
F (0.6566, 0.0930, 0.1838)
F (0.7173, 0.7173, 0.3944)
F (0.9070, 0.3434, 0.8162)

Space-group type: No. 12
Uncorrected formation energy: -2363 meV/atom

---

A plane-wave DFT calculation with PBE was carried out for crystalline Cs2TlPbF6 at its relaxed geometry.

Lattice parameters (Å, degrees): 6.8597 6.8597 6.8597 60.00 60.00 60.00
Fractional positions:
Cs (0.2500, 0.2500, 0.2500)
Cs (0.7500, 0.7500, 0.7500)
Tl (0.0000, 0.0000, 0.0000)
Pb (0.5000, 0.5000, 0.5000)
F (0.2533, 0.2533, 0.7467)
F (0.2533, 0.7467, 0.2533)
F (0.2533, 0.7467, 0.7467)
F (0.7467, 0.2533, 0.2533)
F (0.7467, 0.2533, 0.7467)
F (0.7467, 0.7467, 0.2533)

Space-group type: No. 225
Uncorrected formation energy: -2353 meV/atom

---

A plane-wave DFT calculation with PBE was carried out for crystalline Cs4TlPb3F12 at its relaxed geometry.

Lattice parameters (Å, degrees): 8.4375 8.4375 8.4375 109.47 109.47 109.47
Fractional positions:
Cs (0.0000, 0.0000, 0.5000)
Cs (0.0000, 0.5000, 0.0000)
Cs (0.5000, 0.0000, 0.0000)
Cs (0.5000, 0.5000, 0.5000)
Tl (0.0000, 0.0000, 0.0000)
Pb (0.0000, 0.5000, 0.5000)
Pb (0.5000, 0.0000, 0.5000)
Pb (0.5000, 0.5000, 0.0000)
F (0.0000, 0.2528, 0.2528)
F (0.0000, 0.7472, 0.7472)
F (0.2500, 0.5000, 0.7500)
F (0.2500, 0.7500, 0.5000)
F (0.2528, 0.0000, 0.2528)
F (0.2528, 0.2528, 0.0000)
F (0.5000, 0.2500, 0.7500)
F (0.5000, 0.7500, 0.2500)
F (0.7472, 0.0000, 0.7472)
F (0.7472, 0.7472, 0.0000)
F (0.7500, 0.2500, 0.5000)
F (0.7500, 0.5000, 0.2500)

Space-group type: No. 229
Uncorrected formation energy: -2445 meV/atom

---

A plane-wave DFT calculation with PBE was carried out for crystalline CsTlPb2F at its relaxed geometry.

Lattice parameters (Å, degrees): 5.7498 5.7498 8.4212 90.00 90.00 90.00
Fractional positions:
Cs (0.0000, 0.0000, 0.0000)
Tl (0.0000, 0.0000, 0.5000)
Pb (0.0000, 0.5000, 0.5000)
Pb (0.5000, 0.0000, 0.5000)
F (0.5000, 0.5000, 0.0000)

Space-group type: No. 123
Uncorrected formation energy: -214 meV/atom

---

A plane-wave DFT calculation with PBE was carried out for crystalline Cs2TmPb3F12 at its relaxed geometry.

Lattice parameters (Å, degrees): 8.5769 8.5769 8.5769 59.42 59.42 59.42
Fractional positions:
Cs (0.1090, 0.1090, 0.1090)
Cs (0.8910, 0.8910, 0.8910)
Tm (0.5000, 0.5000, 0.5000)
Pb (0.0000, 0.5000, 0.5000)
Pb (0.5000, 0.0000, 0.5000)
Pb (0.5000, 0.5000, 0.0000)
F (0.1613, 0.1613, 0.5811)
F (0.1613, 0.5811, 0.1613)
F (0.2027, 0.5622, 0.5622)
F (0.4189, 0.8387, 0.8387)
F (0.4378, 0.4378, 0.7973)
F (0.4378, 0.7973, 0.4378)
F (0.5622, 0.2027, 0.5622)
F (0.5622, 0.5622, 0.2027)
F (0.5812, 0.1613, 0.1613)
F (0.7973, 0.4378, 0.4378)
F (0.8387, 0.4189, 0.8387)
F (0.8387, 0.8387, 0.4188)

Space-group type: No. 166
Uncorrected formation energy: -2774 meV/atom

---

A plane-wave DFT calculation with PBE was carried out for crystalline CsTmPb2F8 at its relaxed geometry.

Lattice parameters (Å, degrees): 4.1916 6.1588 8.3592 90.04 90.05 92.28
Fractional positions:
Cs (0.0000, 0.0000, 0.0000)
Tm (0.0000, 0.0000, 0.5000)
Pb (0.5001, 0.5001, 0.2522)
Pb (0.4999, 0.4999, 0.7478)
F (0.0087, 0.7552, 0.3037)
F (0.0095, 0.7555, 0.6960)
F (0.4785, 0.7008, 0.0003)
F (0.4859, 0.1975, 0.5003)
F (0.5141, 0.8025, 0.4997)
F (0.5215, 0.2992, 0.9997)
F (0.9905, 0.2445, 0.3040)
F (0.9913, 0.2448, 0.6963)

Space-group type: No. 2
Uncorrected formation energy: -2993 meV/atom

---

A plane-wave DFT calculation with PBE was carried out for crystalline CsTmPbF6 at its relaxed geometry.

Lattice parameters (Å, degrees): 5.8136 6.4181 6.4229 60.05 89.99 89.92
Fractional positions:
Cs (0.0000, 0.0000, 0.0000)
Tm (0.4780, 0.3334, 0.3332)
Pb (0.5035, 0.6667, 0.6669)
F (0.2792, 0.0245, 0.5869)
F (0.2793, 0.3892, 0.0239)
F (0.2794, 0.5876, 0.3889)
F (0.6802, 0.0473, 0.3434)
F (0.6804, 0.3432, 0.6088)
F (0.6804, 0.6086, 0.0481)

Space-group type: No. 1
Uncorrected formation energy: -3261 meV/atom